[1]
# LiTiIrAu, optimized geometry, DFT PBE
data_LiTiIrAu
_cell_length_a 6.205
_cell_length_b 6.205
_cell_length_c 6.205
_cell_angle_alpha 90.00
_cell_angle_beta 90.00
_cell_angle_gamma 90.00
_space_group_name_H-M_alt 'F -4 3 m'
_space_group_IT_number 216
_space_group_name_Hall 'F -4 2 3'
loop_
_atom_site_label
_atom_site_fract_x
_atom_site_fract_y
_atom_site_fract_z
Li1 0.000 0.000 0.000
Ti1 0.000 0.000 0.500
Ir1 0.250 0.250 0.250
Au1 0.250 0.250 0.750
# Magnetization ... 0.000 μB/f.u.
# Formation energy ... -0.4728 eV per atom
# Calculated density ... 12.3 g/cm³

=====

[2]
# LiTmIrAu, optimized geometry, DFT PBE
data_LiTmIrAu
_cell_length_a 6.600
_cell_length_b 6.600
_cell_length_c 6.600
_cell_angle_alpha 90.00
_cell_angle_beta 90.00
_cell_angle_gamma 90.00
_space_group_name_H-M_alt 'F -4 3 m'
_space_group_IT_number 216
_space_group_name_Hall 'F -4 2 3'
loop_
_atom_site_label
_atom_site_fract_x
_atom_site_fract_y
_atom_site_fract_z
Li1 0.000 0.000 0.000
Tm1 0.000 0.000 0.500
Ir1 0.250 0.250 0.250
Au1 0.250 0.250 0.750
# Magnetization ... 0.000 μB/f.u.
# Formation energy ... -0.5607 eV per atom
# Calculated density ... 13.1 g/cm³

=====

[3]
# LiZnIrAu, optimized geometry, DFT PBE
data_LiZnIrAu
_cell_length_a 6.089
_cell_length_b 6.089
_cell_length_c 6.089
_cell_angle_alpha 90.00
_cell_angle_beta 90.00
_cell_angle_gamma 90.00
_space_group_name_H-M_alt 'F -4 3 m'
_space_group_IT_number 216
_space_group_name_Hall 'F -4 2 3'
loop_
_atom_site_label
_atom_site_fract_x
_atom_site_fract_y
_atom_site_fract_z
Li1 0.000 0.000 0.000
Zn1 0.000 0.000 0.500
Ir1 0.250 0.250 0.250
Au1 0.250 0.250 0.750
# Magnetization ... 0.000 μB/f.u.
# Formation energy ... -0.2021 eV per atom
# Calculated density ... 13.6 g/cm³